Be2InGe2 | PBE-GGA | optimized geometry

Values from the calculation:
space group: I4/mmm, No. 139
formation energy: 0.29 eV per atom

extended XYZ file:
```
5
Lattice="-2.034 2.034 5.019 2.034 -2.034 5.019 2.034 2.034 -5.019" Properties=species:S:1:pos:R:3 pbc="T T T"
Be 2.034 0.000 2.509
Be 0.000 2.034 2.509
In 0.000 0.000 0.000
Ge 0.000 0.000 3.755
Ge 0.000 0.000 6.282
```